Entry 1:
Compound: TePI2
Source: Alexandria
Functional: PBE-GGA
Structure: relaxed

Cell lengths 11.1712, 11.1712, 8.3357 Å; angles 47.93, 47.93, 90.00 degrees
Element x y z (fractional)
I 0.8750 0.6249 0.7500
Te 0.7500 0.2500 0.5000
P 0.5000 0.5000 0.0000
I 0.3751 0.6250 0.2500
Te 0.0000 0.0000 0.0000
I 0.3750 0.6251 0.7500
P 0.2500 0.7500 0.5000
I 0.3749 0.1250 0.2500

Calculated values
The value obtained for the raw formation energy is 146 kJ/mol of formula units. The space-group type is I4_1/amd (141). As for the calculated density: 4122 kg/m³. The value obtained for the volume is 332 Å³ per cell. For the magnetization, the calculation gives 0.00 μB per formula unit.

***

Entry 2:
Compound: Mg7Tl4In
Source: Alexandria
Functional: PBE-GGA
Structure: relaxed

Cell lengths 3.4244, 3.4244, 29.4277 Å; angles 90.00, 90.00, 120.00 degrees
Element x y z (fractional)
In 0.0000 0.0000 0.5000
Mg 0.6667 0.3333 0.5821
Mg 0.3333 0.6667 0.4179
Mg 0.0000 0.0000 0.7482
Tl 0.3333 0.6667 0.9166
Mg 0.0000 0.0000 0.0000
Tl 0.6667 0.3333 0.0834
Tl 0.6667 0.3333 0.3347
Tl 0.3333 0.6667 0.6653
Mg 0.3333 0.6667 0.1668
Mg 0.0000 0.0000 0.2518
Mg 0.6667 0.3333 0.8332

Calculated values
The space-group type is P-3m1 (164). As for the calculated density: 6126 kg/m³. The value obtained for the volume is 299 Å³ per cell. The calculation puts the formation energy from the elements at -0.010 eV/atom. For the magnetization, the calculation gives 0.00 μB per formula unit.

***

Question: Among the records above, which one has the highest calculated density?
Answer: Mg7Tl4In

***

Question: Which formula does entry 2 have?
Answer: Mg7Tl4In

***

Question: Which value of calculated density does entry 2 give?
Answer: 6126 kg/m³

***

Question: Which formula does entry 2 have?
Answer: Mg7Tl4In